Record 1
Material: Ac5Pr2NdTm
Method: DFT, PBE-GGA
State: relaxed Values from VASP.

Structure (Quantum ESPRESSO input):
```
&SYSTEM
  ibrav = 0, nat = 18, ntyp = 4
/
ATOMIC_SPECIES
Ac 227.00 Ac.upf
Pr 140.91 Pr.upf
Nd 144.24 Nd.upf
Tm 168.93 Tm.upf
CELL_PARAMETERS angstrom
-4.241 4.241 10.358
4.241 -4.241 10.358
4.241 4.241 -10.358
ATOMIC_POSITIONS angstrom
Ac 0.000 0.000 0.000
Ac 6.154 1.913 -2.857
Ac 1.913 2.328 -2.857
Ac 6.154 1.913 2.857
Ac 1.913 2.328 2.857
Ac 0.000 0.000 10.358
Ac 2.328 1.913 7.501
Ac -1.913 2.328 7.501
Ac 2.328 1.913 13.214
Ac -1.913 2.328 13.214
Pr 3.200 1.041 0.000
Pr 3.200 -1.041 10.358
Pr 1.041 5.282 0.000
Pr 1.041 3.200 10.358
Nd 0.000 0.000 5.179
Nd 0.000 0.000 15.537
Tm 4.241 0.000 5.179
Tm 0.000 4.241 5.179
```

Computed properties:
D(E_F)   27.5 states/eV/cell
Theoretical density   7711 kg/m3

---

Record 2
Material: Ac2PrNd4Tm
Method: DFT, PBE-GGA
State: relaxed Values from VASP.

Structure (Quantum ESPRESSO input):
```
&SYSTEM
  ibrav = 0, nat = 8, ntyp = 4
/
ATOMIC_SPECIES
Ac 227.00 Ac.upf
Pr 140.91 Pr.upf
Nd 144.24 Nd.upf
Tm 168.93 Tm.upf
CELL_PARAMETERS angstrom
6.488 0.000 0.000
0.000 3.761 0.000
-2.215 0.000 12.145
ATOMIC_POSITIONS angstrom
Ac 0.000 0.000 0.000
Ac 3.244 1.880 0.000
Pr -1.107 1.880 6.073
Nd -0.029 0.000 9.020
Nd 1.076 1.880 3.153
Nd 3.198 1.880 8.993
Nd 4.303 0.000 3.126
Tm 2.137 0.000 6.073
```

Computed properties:
D(E_F)   13.4 states/eV/cell
Theoretical density   7513 kg/m3

---

Record 3
Material: Ac2PrNd5Tm
Method: DFT, PBE-GGA
State: relaxed Values from VASP.

Structure (Quantum ESPRESSO input):
```
&SYSTEM
  ibrav = 0, nat = 18, ntyp = 4
/
ATOMIC_SPECIES
Ac 227.00 Ac.upf
Pr 140.91 Pr.upf
Nd 144.24 Nd.upf
Tm 168.93 Tm.upf
CELL_PARAMETERS angstrom
2.929 -10.458 0.000
2.929 10.458 0.000
0.000 0.000 10.917
ATOMIC_POSITIONS angstrom
Ac 2.929 8.056 5.458
Ac 2.929 8.005 0.891
Ac 2.929 -8.005 6.350
Ac 2.929 -8.056 0.000
Pr 2.929 1.940 2.591
Pr 2.929 -1.940 8.050
Nd 2.929 10.104 8.581
Nd 2.929 4.591 0.902
Nd 2.929 4.338 5.157
Nd 2.929 2.439 8.586
Nd 2.929 0.297 5.591
Nd 2.929 -0.297 0.133
Nd 2.929 -2.439 3.128
Nd 2.929 -4.338 10.616
Nd 2.929 -4.591 6.360
Nd 2.929 -10.104 3.123
Tm 2.929 6.145 8.489
Tm 2.929 -6.145 3.031
```

Computed properties:
D(E_F)   24.7 states/eV/cell
Theoretical density   7374 kg/m3

---

For reference, size of the total moment by record: 0.000 0.000 0.000 μB/cell.
For reference, energy relative to the elements by record: 283 43 134 meV/atom.